Entry 1:
VASP calculation (PBEsol) on an optimized crystal structure of ScTaIn2F.

Lattice parameters (Å, degrees): 4.9285 5.3275 5.3275 90.00 90.00 90.00
Positions (direct):
Sc (0.5000, 0.0000, 0.0000)
F (0.5000, 0.5000, 0.5000)
In (0.0000, 0.0000, 0.5000)
In (0.0000, 0.5000, 0.0000)
Ta (0.0000, 0.0000, 0.0000)

**Crystal system**: tetragonal
**Energy relative to the elements, uncorrected**: 438 meV per atom
**Space group**: P4/mmm (123)
**E**: -4.97 eV/atom

=====

Entry 2:
VASP calculation (PBEsol) on an optimized crystal structure of InSe2F.

Lattice parameters (Å, degrees): 5.9456 5.9456 7.1319 114.63 114.63 90.00
Positions (direct):
F (0.7500, 0.2500, 0.5000)
F (0.5000, 0.5000, 0.0000)
Se (0.8536, 0.3750, 0.2500)
Se (0.3964, 0.8750, 0.2500)
Se (0.6250, 0.6036, 0.7500)
Se (0.1250, 0.1464, 0.7500)
In (0.2500, 0.7500, 0.5000)
In (0.0000, 0.0000, 0.0000)

**Crystal system**: tetragonal
**Energy relative to the elements, uncorrected**: -236 meV per atom
**Space group**: I-42d (122)
**E**: -3.39 eV/atom

=====

The highest E belongs to which entry? InSe2F